[1]
Entry from Alexandria via LeMat-Bulk: crystalline LiTmMgPt at its relaxed geometry (PBE-GGA).

a = 4.740 Å, b = 4.740 Å, c = 4.740 Å
α = 60.00°, β = 60.00°, γ = 60.00°
Element x y z (fractional)
Tm 0.000 0.000 0.000
Pt 0.750 0.750 0.750
Li 0.250 0.250 0.250
Mg 0.500 0.500 0.500

Results
- total DFT energy (no corrections) (eV per cell) = -16.7

=====

[2]
Entry from Alexandria via LeMat-Bulk: crystalline LiMgV2Pt at its relaxed geometry (PBE-GGA).

a = 4.559 Å, b = 4.051 Å, c = 4.559 Å
α = 90.00°, β = 90.00°, γ = 90.00°
Element x y z (fractional)
Pt 0.500 0.500 0.500
V 0.500 0.000 0.000
V 0.000 0.000 0.500
Mg 0.000 0.000 0.000
Li 0.000 0.500 0.000

Results
- total DFT energy (no corrections) (eV per cell) = -20.6

=====

[3]
Entry from Alexandria via LeMat-Bulk: crystalline LiMgPt2W at its relaxed geometry (PBE-GGA).

a = 4.261 Å, b = 4.384 Å, c = 4.261 Å
α = 90.00°, β = 90.00°, γ = 90.00°
Element x y z (fractional)
W 0.000 0.500 0.000
Li 0.000 0.000 0.000
Mg 0.500 0.500 0.500
Pt 0.000 0.000 0.500
Pt 0.500 0.000 0.000

Results
- total DFT energy (no corrections) (eV per cell) = -25.2

=====

[4]
Entry from Alexandria via LeMat-Bulk: crystalline Li2Mg2Zn4Pt3 at its relaxed geometry (PBE-GGA).

a = 3.703 Å, b = 3.703 Å, c = 12.917 Å
α = 98.24°, β = 98.24°, γ = 90.00°
Element x y z (fractional)
Zn 0.895 0.395 0.791
Zn 0.395 0.895 0.791
Zn 0.605 0.105 0.209
Zn 0.105 0.605 0.209
Pt 0.179 0.179 0.357
Pt 0.821 0.821 0.643
Pt 0.000 0.000 0.000
Mg 0.288 0.288 0.576
Mg 0.712 0.712 0.424
Li 0.462 0.462 0.923
Li 0.538 0.538 0.077

Results
- total DFT energy (no corrections) (eV per cell) = -33.6

=====

[5]
Entry from Alexandria via LeMat-Bulk: crystalline LiMgZrPt at its relaxed geometry (PBE-GGA).

a = 4.605 Å, b = 4.605 Å, c = 4.605 Å
α = 60.00°, β = 60.00°, γ = 60.00°
Element x y z (fractional)
Pt 0.500 0.500 0.500
Li 0.000 0.000 0.000
Mg 0.750 0.750 0.750
Zr 0.250 0.250 0.250

Results
- total DFT energy (no corrections) (eV per cell) = -20.5

=====

[6]
Entry from Alexandria via LeMat-Bulk: crystalline LiPuMg2 at its relaxed geometry (PBE-GGA).

a = 3.097 Å, b = 3.097 Å, c = 9.476 Å
α = 90.00°, β = 90.00°, γ = 90.00°
Element x y z (fractional)
Mg 0.000 0.000 0.274
Mg 0.000 0.000 0.726
Pu 0.500 0.500 0.000
Li 0.500 0.500 0.500

Results
- offset from the most stable computed form (meV per atom) = 0

=====

[7]
Entry from Alexandria via LeMat-Bulk: crystalline LiPuMg2 at its relaxed geometry (PBE-GGA).

a = 3.108 Å, b = 3.108 Å, c = 11.639 Å
α = 82.33°, β = 82.33°, γ = 60.00°
Element x y z (fractional)
Pu 0.000 0.000 0.000
Mg 0.906 0.906 0.281
Mg 0.094 0.094 0.719
Li 0.500 0.500 0.500

Results
- offset from the most stable computed form (meV per atom) = 178

=====

[8]
Entry from Alexandria via LeMat-Bulk: crystalline LiPuMg2 at its relaxed geometry (PBE-GGA).

a = 3.156 Å, b = 3.156 Å, c = 10.928 Å
α = 81.65°, β = 81.65°, γ = 59.98°
Element x y z (fractional)
Pu 0.499 0.499 0.500
Li 0.667 0.667 0.999
Mg 0.257 0.257 0.234
Mg 0.077 0.077 0.766

Results
- offset from the most stable computed form (meV per atom) = 36

=====

[9]
Entry from Alexandria via LeMat-Bulk: crystalline Li4PuMg5 at its relaxed geometry (PBE-GGA).

a = 3.236 Å, b = 3.236 Å, c = 20.209 Å
α = 90.00°, β = 90.00°, γ = 90.00°
Element x y z (fractional)
Li 0.000 0.000 0.407
Li 0.000 0.000 0.783
Li 0.000 0.000 0.593
Li 0.000 0.000 0.217
Mg 0.500 0.500 0.123
Mg 0.500 0.500 0.877
Mg 0.500 0.500 0.689
Mg 0.500 0.500 0.500
Mg 0.500 0.500 0.311
Pu 0.000 0.000 0.000

Results
- total DFT energy (no corrections) (eV per cell) = -30.0

=====

[10]
Entry from Alexandria via LeMat-Bulk: crystalline LiPuMg2 at its relaxed geometry (PBE-GGA).

a = 3.073 Å, b = 5.660 Å, c = 5.660 Å
α = 90.00°, β = 90.00°, γ = 90.00°
Element x y z (fractional)
Pu 0.500 0.500 0.500
Li 0.500 0.000 0.000
Mg 0.000 0.500 0.000
Mg 0.000 0.000 0.500

Results
- offset from the most stable computed form (meV per atom) = 122

=====

[11]
Entry from Alexandria via LeMat-Bulk: crystalline Li2PuMg2Sb2 at its relaxed geometry (PBE-GGA).

a = 4.647 Å, b = 4.647 Å, c = 8.770 Å
α = 74.64°, β = 74.64°, γ = 60.00°
Element x y z (fractional)
Sb 0.737 0.737 0.789
Sb 0.263 0.263 0.211
Mg 0.862 0.862 0.414
Mg 0.138 0.138 0.586
Li 0.569 0.569 0.293
Li 0.431 0.431 0.707
Pu 0.000 0.000 0.000

Results
- formation energy from raw total energies (eV per atom) = -0.373

=====

[12]
Entry from Alexandria via LeMat-Bulk: crystalline LiPuMg2Se4 at its relaxed geometry (PBE-GGA).

a = 4.031 Å, b = 6.832 Å, c = 6.888 Å
α = 108.78°, β = 90.00°, γ = 90.00°
Element x y z (fractional)
Pu 0.000 0.000 0.000
Se 0.000 0.752 0.266
Se 0.500 0.738 0.741
Se 0.500 0.262 0.259
Se 0.000 0.248 0.734
Li 0.500 0.500 0.000
Mg 0.000 0.500 0.500
Mg 0.500 0.000 0.500

Results
- formation energy from raw total energies (eV per atom) = -1.282

=====

Volume (A^3/atom)
18.830, 16.840, 15.918, 15.769, 17.264, 22.724, 24.049, 23.236, 21.168, 24.608, 22.305, 22.449
Magnetization (μB/cell)
0.0, 0.0, 2.4, 0.0, 0.0, 6.0, 5.9, 5.7, 6.0, 6.2, 6.2, 5.0